(1)
The following is a DFT calculation (PBE) of an optimized crystal structure of Tm4GeSbSe2. Values from VASP.

```
&SYSTEM
  ibrav = 0, nat = 8, ntyp = 4
/
ATOMIC_SPECIES
Tm 168.93 Tm.upf
Se 78.96 Se.upf
Ge 72.64 Ge.upf
Sb 121.76 Sb.upf
CELL_PARAMETERS angstrom
-2.9573 1.9213 2.1670
-4.2401 -0.0587 -5.7342
-3.9374 -6.0387 -0.0191
ATOMIC_POSITIONS crystal
Tm 0.0000 0.7483 0.7362
Tm 0.0000 0.2517 0.2638
Se 0.5000 0.0000 0.5000
Tm 0.5000 0.2596 0.7349
Se 0.0000 0.0000 0.0000
Ge 0.0000 0.5000 0.5000
Sb 0.5000 0.5000 0.0000
Tm 0.5000 0.7404 0.2651
```

Symmetry = P2/m, No. 10
Formation energy without anion corrections = -1.37 eV/atom

=====

(2)
The following is a DFT calculation (PBE) of an optimized crystal structure of LiLaNd2Au4. Values from VASP.

```
&SYSTEM
  ibrav = 0, nat = 8, ntyp = 4
/
ATOMIC_SPECIES
Li 6.94 Li.upf
Nd 144.24 Nd.upf
Au 196.97 Au.upf
La 138.91 La.upf
CELL_PARAMETERS angstrom
-4.2426 0.0281 -2.9429
-3.6777 -3.5482 0.7384
-6.4701 3.9557 4.8356
ATOMIC_POSITIONS crystal
Li 0.5000 0.5000 0.5000
Nd 0.7605 0.7605 0.7186
Au 0.1203 0.1203 0.6392
Nd 0.2395 0.2395 0.2814
La 0.0000 0.0000 0.0000
Au 0.6164 0.6164 0.1509
Au 0.3836 0.3836 0.8491
Au 0.8797 0.8797 0.3608
```

Symmetry = R-3m, No. 166
Formation energy = -16.4 kcal/mol of atoms

=====

(3)
The following is a DFT calculation (PBE) of an optimized crystal structure of TbDy2Ho6Th. Values from VASP.

```
&SYSTEM
  ibrav = 0, nat = 20, ntyp = 4
/
ATOMIC_SPECIES
Dy 162.50 Dy.upf
Th 232.04 Th.upf
Ho 164.93 Ho.upf
Tb 158.93 Tb.upf
CELL_PARAMETERS angstrom
-8.6239 -1.5578 4.0579
0.6383 -7.9764 -3.3645
4.0527 1.4977 7.5288
ATOMIC_POSITIONS crystal
Dy 0.4553 0.8104 0.7098
Th 0.7500 0.5958 0.4042
Ho 0.9409 0.8783 0.2562
Ho 0.6840 0.0266 0.5756
Ho 0.0591 0.1217 0.7438
Ho 0.1840 0.5756 0.0266
Ho 0.3160 0.9734 0.4244
Ho 0.5591 0.7438 0.1217
Ho 0.4409 0.2562 0.8783
Th 0.2500 0.4042 0.5958
Ho 0.6198 0.4962 0.7015
Ho 0.8802 0.2985 0.5038
Dy 0.5447 0.1896 0.2902
Ho 0.3802 0.5038 0.2985
Ho 0.1198 0.7015 0.4962
Dy 0.0447 0.2902 0.1896
Tb 0.2500 0.9789 0.0211
Tb 0.7500 0.0211 0.9789
Dy 0.9553 0.7098 0.8104
Ho 0.8160 0.4244 0.9734
```

Symmetry = C2/c, No. 15
Formation energy = 3.4 kcal/mol of atoms

=====

(4)
The following is a DFT calculation (PBE) of an optimized crystal structure of Ni2OsIN. Values from VASP.

```
&SYSTEM
  ibrav = 0, nat = 5, ntyp = 4
/
ATOMIC_SPECIES
I 126.90 I.upf
Ni 58.69 Ni.upf
N 14.01 N.upf
Os 190.23 Os.upf
CELL_PARAMETERS angstrom
4.6354 0.0000 0.0000
0.0000 3.9465 0.0000
0.0000 0.0000 4.6354
ATOMIC_POSITIONS crystal
I 0.0000 0.0000 0.0000
Ni 0.5000 0.0000 0.0000
Ni 0.0000 0.0000 0.5000
N 0.0000 0.5000 0.0000
Os 0.5000 0.5000 0.5000
```

Symmetry = P4/mmm, No. 123
Formation energy without anion corrections = 2.29 eV/atom

=====

(5)
The following is a DFT calculation (PBE) of an optimized crystal structure of TlPtN3. Values from VASP.

```
&SYSTEM
  ibrav = 0, nat = 5, ntyp = 3
/
ATOMIC_SPECIES
Tl 204.38 Tl.upf
N 14.01 N.upf
Pt 195.08 Pt.upf
CELL_PARAMETERS angstrom
4.0343 0.0000 0.0000
0.0000 4.0343 0.0000
0.0000 0.0000 4.0343
ATOMIC_POSITIONS crystal
Tl 0.5000 0.5000 0.5000
N 0.0000 0.0000 0.5000
N 0.0000 0.5000 0.0000
N 0.5000 0.0000 0.0000
Pt 0.0000 0.0000 0.0000
```

Symmetry = Pm-3m, No. 221
Formation energy without anion corrections = 1.71 eV/atom

=====

(6)
The following is a DFT calculation (PBE) of an optimized crystal structure of Tb3NiRu. Values from VASP.

```
&SYSTEM
  ibrav = 0, nat = 10, ntyp = 3
/
ATOMIC_SPECIES
Ru 101.07 Ru.upf
Tb 158.93 Tb.upf
Ni 58.69 Ni.upf
CELL_PARAMETERS angstrom
4.1351 0.0002 0.0006
-0.0002 6.1720 0.0042
-0.0014 -0.0054 9.0252
ATOMIC_POSITIONS crystal
Ru 0.2500 0.0451 0.2500
Tb 0.2500 0.7626 0.9444
Ru 0.7500 0.9549 0.7500
Ni 0.7500 0.5474 0.7501
Tb 0.7500 0.2374 0.0556
Tb 0.7500 0.2374 0.4444
Tb 0.2500 0.7626 0.5556
Tb 0.2500 0.2601 0.7500
Ni 0.2500 0.4526 0.2499
Tb 0.7500 0.7399 0.2500
```

Symmetry = Pmmn, No. 59
Energy above the most stable polymorph in this dataset = 0.15 eV/f.u.
Formation energy = -7.2 kcal/mol of atoms